SmMn9P4: optimized geometry, PBE-GGA.

The structure belongs to space group I4/mcm (No. 140); the cell edges are 7.621, 7.621 and 11.684 Å and the angles 90.00°, 90.00° and 90.00°. The inequivalent atoms are Sm at (0.000, 0.000, 0.250), Mn at (0.000, 0.500, 0.000), Mn at (0.066, 0.189, 0.000), Mn at (0.131, 0.369, 0.177) and P at (0.165, 0.335, 0.370).

The formation energy comes out at -0.456 eV/atom. The calculation puts the calculated density at 7.52 g/cm³.